Material: HgTeWO6
Method: DFT, GGA+U
State: relaxed

- SG = Imma
- volume (Å³/atom) = 15.51
- total DFT energy (no corrections) (hartree per atom) = -0.209

```
data_HgTeWO6
_cell_length_a 7.3360
_cell_length_b 7.3360
_cell_length_c 7.3360
_cell_angle_alpha 120.52
_cell_angle_beta 119.44
_cell_angle_gamma 90.04
_symmetry_space_group_name_H-M 'P 1'
_symmetry_Int_Tables_number 1
loop_
_symmetry_equiv_pos_as_xyz
'x,y,z'
loop_
_atom_site_label
_atom_site_fract_x
_atom_site_fract_y
_atom_site_fract_z
Hg1 0.3820 0.1320 0.2500
Hg2 0.6180 0.8680 0.7500
Te1 0.0000 0.0000 0.5000
Te2 0.0000 0.5000 0.0000
W1 0.0000 0.5000 0.5000
W2 0.5000 0.5000 0.0000
O1 0.0629 0.4358 0.2489
O2 0.0629 0.8140 0.6271
O3 0.0734 0.8234 0.2500
O4 0.3072 0.5572 0.7500
O5 0.3131 0.1860 0.7489
O6 0.3131 0.5642 0.1271
O7 0.6869 0.4358 0.8729
O8 0.6869 0.8140 0.2511
O9 0.6928 0.4428 0.2500
O10 0.9266 0.1766 0.7500
O11 0.9371 0.1860 0.3729
O12 0.9371 0.5642 0.7511
```